CrMoPb2: relaxed, PBE-GGA.

crystal system = tetragonal
formation energy from the elements = 0.381 eV/atom
total magnetization = 0.6 μB/f.u.
V = 22.10 Å³/atom
offset from the most stable computed form = 0.0 meV per atom

Cell lengths 3.210, 3.210, 8.578 Å; angles 90.00, 90.00, 90.00 degrees
Space group P4mm (No. 99)
Inequivalent atoms, fractional coordinates:
Cr  0.000  0.000  0.000 x1
Mo  0.500  0.500  0.130 x1
Pb  0.000  0.000  0.380 x1
Pb  0.500  0.500  0.762 x1